Entry 1:
Entry from the Alexandria database: a relaxed InGaRh2 crystal (PBE-GGA).

Cell and atoms, written as POSCAR:
```
InGaRh2
1.0
-1.277 -1.363 -2.386
-1.355 -1.977 1.855
-5.313 4.108 0.497
Rh Ga In
2 1 1
Direct
0.000 0.000 0.776 Rh
0.000 0.000 0.224 Rh
0.500 0.500 0.000 Ga
0.500 0.500 0.500 In
```

Computed properties:
total magnetic moment: 0.00 Bohr magnetons per cell

***

Entry 2:
Entry from the Alexandria database: a relaxed InGa5Rh6 crystal (PBE-GGA).

Cell and atoms, written as POSCAR:
```
InGa5Rh6
1.0
4.086 -0.024 1.362
0.034 6.265 0.011
0.000 -0.012 6.813
Rh Ga In
6 5 1
Direct
0.829 0.745 0.341 Rh
0.829 0.255 0.341 Rh
0.500 0.262 0.000 Rh
0.500 0.738 0.000 Rh
0.171 0.745 0.659 Rh
0.171 0.255 0.659 Rh
0.666 0.500 0.667 Ga
0.333 0.000 0.335 Ga
0.000 0.500 0.000 Ga
0.667 0.000 0.665 Ga
0.334 0.500 0.333 Ga
0.000 0.000 0.000 In
```

Computed properties:
total magnetic moment: 0.00 Bohr magnetons per cell

***

Entry 3:
Entry from the Alexandria database: a relaxed In2GaRh3 crystal (PBE-GGA).

Cell and atoms, written as POSCAR:
```
In2GaRh3
1.0
4.369 0.000 0.017
2.185 6.558 0.009
-0.026 0.000 6.697
In Ga Rh
4 2 6
Direct
0.000 0.000 0.000 In
0.000 0.000 0.500 In
0.333 0.334 0.500 In
0.667 0.666 0.500 In
0.334 0.332 0.000 Ga
0.666 0.668 0.000 Ga
0.829 0.343 0.771 Rh
0.500 0.000 0.239 Rh
0.171 0.657 0.229 Rh
0.829 0.343 0.229 Rh
0.171 0.657 0.771 Rh
0.500 0.000 0.761 Rh
```

Computed properties:
total magnetic moment: 0.00 Bohr magnetons per cell

***

Entry 4:
Entry from the Alexandria database: a relaxed InGaRh3 crystal (PBE-GGA).

Cell and atoms, written as POSCAR:
```
InGaRh3
1.0
-3.660 -1.879 -2.576
2.769 0.071 -3.986
1.580 -4.475 1.018
Rh Ga In
3 1 1
Direct
0.000 0.500 0.000 Rh
0.000 0.000 0.500 Rh
0.500 0.000 0.000 Rh
0.500 0.500 0.500 Ga
0.000 0.000 0.000 In
```

Computed properties:
total magnetic moment: 0.99 Bohr magnetons per cell

***

Entry 5:
Entry from the Alexandria database: a relaxed InGa4Rh5 crystal (PBE-GGA).

Cell and atoms, written as POSCAR:
```
InGa4Rh5
1.0
3.018 0.000 0.000
0.000 3.018 0.000
0.000 0.000 16.021
In Ga Rh
1 4 5
Direct
0.000 0.000 0.000 In
0.000 0.000 0.210 Ga
0.000 0.000 0.404 Ga
0.000 0.000 0.596 Ga
0.000 0.000 0.790 Ga
0.500 0.500 0.120 Rh
0.500 0.500 0.310 Rh
0.500 0.500 0.500 Rh
0.500 0.500 0.690 Rh
0.500 0.500 0.880 Rh
```

Computed properties:
total magnetic moment: 0.00 Bohr magnetons per cell

***

Entry 6:
Entry from the Alexandria database: a relaxed InGa2Rh2 crystal (PBE-GGA).

Cell and atoms, written as POSCAR:
```
InGa2Rh2
1.0
-2.727 -1.395 2.921
2.990 -2.549 1.574
1.599 1.670 5.357
Rh Ga In
2 2 1
Direct
0.750 0.250 0.500 Rh
0.250 0.750 0.500 Rh
0.377 0.377 0.246 Ga
0.623 0.623 0.754 Ga
0.000 0.000 0.000 In
```

Computed properties:
total magnetic moment: 0.00 Bohr magnetons per cell

***

Entry 7:
Entry from the Alexandria database: a relaxed InGa2Rh2 crystal (PBE-GGA).

Cell and atoms, written as POSCAR:
```
InGa2Rh2
1.0
7.360 0.000 0.000
0.000 7.360 0.000
0.000 0.000 2.926
Rh Ga In
4 4 2
Direct
0.163 0.663 0.500 Rh
0.663 0.837 0.500 Rh
0.837 0.337 0.500 Rh
0.337 0.163 0.500 Rh
0.369 0.869 0.000 Ga
0.869 0.631 0.000 Ga
0.631 0.131 0.000 Ga
0.131 0.369 0.000 Ga
0.000 0.000 0.000 In
0.500 0.500 0.000 In
```

Computed properties:
total magnetic moment: 0.00 Bohr magnetons per cell

***

Entry 8:
Entry from the Alexandria database: a relaxed InGaRh3 crystal (PBE-GGA).

Cell and atoms, written as POSCAR:
```
InGaRh3
1.0
-3.809 -0.905 -6.954
4.351 -4.563 -1.789
-2.921 -5.396 2.302
In Ga Rh
4 4 12
Direct
0.250 0.026 0.974 In
0.750 0.974 0.026 In
0.250 0.644 0.356 In
0.750 0.356 0.644 In
0.750 0.485 0.131 Ga
0.750 0.869 0.515 Ga
0.250 0.515 0.869 Ga
0.250 0.131 0.485 Ga
0.512 0.302 0.969 Rh
0.988 0.031 0.698 Rh
0.488 0.698 0.031 Rh
0.012 0.969 0.302 Rh
0.012 0.698 0.031 Rh
0.488 0.969 0.302 Rh
0.988 0.302 0.969 Rh
0.512 0.031 0.698 Rh
0.500 0.362 0.362 Rh
0.000 0.638 0.638 Rh
0.500 0.638 0.638 Rh
0.000 0.362 0.362 Rh
```

Computed properties:
total magnetic moment: 0.00 Bohr magnetons per cell

***

Entry 9:
Entry from the Alexandria database: a relaxed InGaRu2Rh crystal (PBE-GGA).

Cell and atoms, written as POSCAR:
```
InGaRu2Rh
1.0
-3.243 2.697 -1.722
-0.202 -2.610 -3.708
-3.193 -2.573 1.985
Ru Rh Ga In
2 1 1 1
Direct
0.000 0.000 0.500 Ru
0.500 0.000 0.000 Ru
0.000 0.500 0.000 Rh
0.000 0.000 0.000 Ga
0.500 0.500 0.500 In
```

Computed properties:
total magnetic moment: 1.46 Bohr magnetons per cell

***

Entry 10:
Entry from the Alexandria database: a relaxed InGaRuRh crystal (PBE-GGA).

Cell and atoms, written as POSCAR:
```
InGaRuRh
1.0
-3.040 0.221 -3.226
0.500 -2.416 -3.689
-2.676 -3.456 -0.769
Ru Rh Ga In
1 1 1 1
Direct
0.750 0.750 0.750 Ru
0.250 0.250 0.250 Rh
0.000 0.000 0.000 Ga
0.500 0.500 0.500 In
```

Computed properties:
total magnetic moment: 0.00 Bohr magnetons per cell

***

Entry 11:
Entry from the Alexandria database: a relaxed Sc4InGa2Rh crystal (PBE-GGA).

Cell and atoms, written as POSCAR:
```
Sc4InGa2Rh
1.0
4.795 0.000 0.000
2.398 4.153 0.000
2.398 1.384 7.782
Sc In Ga Rh
4 1 2 1
Direct
0.383 0.383 0.852 Sc
0.870 0.870 0.390 Sc
0.130 0.130 0.610 Sc
0.617 0.617 0.148 Sc
0.000 0.000 0.000 In
0.749 0.749 0.754 Ga
0.251 0.251 0.246 Ga
0.500 0.500 0.500 Rh
```

Computed properties:
total magnetic moment: 0.00 Bohr magnetons per cell

***

Entry 12:
Entry from the Alexandria database: a relaxed Sc5In2GaRh2 crystal (PBE-GGA).

Cell and atoms, written as POSCAR:
```
Sc5In2GaRh2
1.0
-1.415 -1.385 -2.708
-7.184 -5.449 6.539
-7.098 8.558 -0.668
Sc In Ga Rh
10 4 2 4
Direct
0.500 0.198 0.074 Sc
0.500 0.802 0.926 Sc
0.500 0.074 0.802 Sc
0.500 0.698 0.426 Sc
0.500 0.926 0.198 Sc
0.500 0.302 0.574 Sc
0.500 0.574 0.698 Sc
0.500 0.426 0.302 Sc
0.500 0.500 0.000 Sc
0.500 0.000 0.500 Sc
0.000 0.672 0.172 In
0.000 0.328 0.828 In
0.000 0.172 0.328 In
0.000 0.828 0.672 In
0.000 0.000 0.000 Ga
0.000 0.500 0.500 Ga
0.000 0.132 0.632 Rh
0.000 0.868 0.368 Rh
0.000 0.632 0.868 Rh
0.000 0.368 0.132 Rh
```

Computed properties:
total magnetic moment: 0.00 Bohr magnetons per cell

***

Entry 13:
Entry from the Alexandria database: a relaxed Sm2InGa2Rh5 crystal (PBE-GGA).

Cell and atoms, written as POSCAR:
```
Sm2InGa2Rh5
1.0
3.615 0.000 0.000
0.000 9.937 0.000
0.000 0.000 9.937
Sm In Ga Rh
4 2 4 10
Direct
0.000 0.675 0.175 Sm
0.000 0.325 0.825 Sm
0.000 0.175 0.325 Sm
0.000 0.825 0.675 Sm
0.000 0.000 0.000 In
0.000 0.500 0.500 In
0.000 0.123 0.623 Ga
0.000 0.877 0.377 Ga
0.000 0.623 0.877 Ga
0.000 0.377 0.123 Ga
0.500 0.210 0.068 Rh
0.500 0.790 0.932 Rh
0.500 0.068 0.790 Rh
0.500 0.710 0.432 Rh
0.500 0.932 0.210 Rh
0.500 0.290 0.568 Rh
0.500 0.568 0.710 Rh
0.500 0.432 0.290 Rh
0.500 0.500 0.000 Rh
0.500 0.000 0.500 Rh
```

Computed properties:
total magnetic moment: 0.00 Bohr magnetons per cell

***

Entry 14:
Entry from the Alexandria database: a relaxed Sr2InGa3Rh4 crystal (PBE-GGA).

Cell and atoms, written as POSCAR:
```
Sr2InGa3Rh4
1.0
4.424 0.000 0.000
0.000 4.424 0.000
0.000 0.000 10.357
Sr In Ga Rh
2 1 3 4
Direct
0.500 0.000 0.234 Sr
0.000 0.500 0.766 Sr
0.500 0.500 0.500 In
0.000 0.000 0.500 Ga
0.500 0.000 0.884 Ga
0.000 0.500 0.116 Ga
0.500 0.500 0.000 Rh
0.000 0.000 0.000 Rh
0.500 0.000 0.638 Rh
0.000 0.500 0.362 Rh
```

Computed properties:
total magnetic moment: 0.00 Bohr magnetons per cell

***

Entry 15:
Entry from the Alexandria database: a relaxed SrIn2GaRh2 crystal (PBE-GGA).

Cell and atoms, written as POSCAR:
```
SrIn2GaRh2
1.0
-4.669 0.538 0.078
-0.500 -3.990 -2.434
-0.281 -3.208 5.315
Sr In Ga Rh
1 2 1 2
Direct
0.000 0.000 0.500 Sr
0.500 0.500 0.743 In
0.500 0.500 0.257 In
0.000 0.000 0.000 Ga
0.500 0.000 0.000 Rh
0.000 0.500 0.000 Rh
```

Computed properties:
total magnetic moment: 0.00 Bohr magnetons per cell

***

Entry 16:
Entry from the Alexandria database: a relaxed TbInGaRh crystal (PBE-GGA).

Cell and atoms, written as POSCAR:
```
TbInGaRh
1.0
4.815 0.000 0.000
2.407 4.170 0.000
2.407 1.390 3.931
Rh Tb Ga In
1 1 1 1
Direct
0.750 0.750 0.750 Rh
0.000 0.000 0.000 Tb
0.250 0.250 0.250 Ga
0.500 0.500 0.500 In
```

Computed properties:
total magnetic moment: 0.00 Bohr magnetons per cell

***

Entry 17:
Entry from the Alexandria database: a relaxed Tb2InGa2Rh5 crystal (PBE-GGA).

Cell and atoms, written as POSCAR:
```
Tb2InGa2Rh5
1.0
3.594 0.000 0.000
0.000 9.872 0.000
0.000 0.000 9.872
Tb In Ga Rh
4 2 4 10
Direct
0.000 0.675 0.175 Tb
0.000 0.325 0.825 Tb
0.000 0.175 0.325 Tb
0.000 0.825 0.675 Tb
0.000 0.000 0.000 In
0.000 0.500 0.500 In
0.000 0.123 0.623 Ga
0.000 0.877 0.377 Ga
0.000 0.623 0.877 Ga
0.000 0.377 0.123 Ga
0.500 0.209 0.068 Rh
0.500 0.791 0.932 Rh
0.500 0.068 0.791 Rh
0.500 0.709 0.432 Rh
0.500 0.932 0.209 Rh
0.500 0.291 0.568 Rh
0.500 0.568 0.709 Rh
0.500 0.432 0.291 Rh
0.500 0.500 0.000 Rh
0.500 0.000 0.500 Rh
```

Computed properties:
total magnetic moment: 0.00 Bohr magnetons per cell

***

Entry 18:
Entry from the Alexandria database: a relaxed Th2InGa3Rh4 crystal (PBE-GGA).

Cell and atoms, written as POSCAR:
```
Th2InGa3Rh4
1.0
4.283 0.000 0.000
0.000 4.283 0.000
0.000 0.000 10.582
Th In Ga Rh
2 1 3 4
Direct
0.500 0.000 0.236 Th
0.000 0.500 0.764 Th
0.500 0.500 0.500 In
0.000 0.000 0.500 Ga
0.500 0.000 0.880 Ga
0.000 0.500 0.120 Ga
0.500 0.500 0.000 Rh
0.000 0.000 0.000 Rh
0.500 0.000 0.650 Rh
0.000 0.500 0.350 Rh
```

Computed properties:
total magnetic moment: 0.00 Bohr magnetons per cell

***

Entry 19:
Entry from the Alexandria database: a relaxed Th2InGa2Rh5 crystal (PBE-GGA).

Cell and atoms, written as POSCAR:
```
Th2InGa2Rh5
1.0
3.709 0.000 0.000
0.000 9.954 0.000
0.000 0.000 9.954
Th In Ga Rh
4 2 4 10
Direct
0.000 0.678 0.178 Th
0.000 0.322 0.822 Th
0.000 0.178 0.322 Th
0.000 0.822 0.678 Th
0.000 0.000 0.000 In
0.000 0.500 0.500 In
0.000 0.119 0.619 Ga
0.000 0.881 0.381 Ga
0.000 0.619 0.881 Ga
0.000 0.381 0.119 Ga
0.500 0.213 0.071 Rh
0.500 0.787 0.929 Rh
0.500 0.071 0.787 Rh
0.500 0.713 0.429 Rh
0.500 0.929 0.213 Rh
0.500 0.287 0.571 Rh
0.500 0.571 0.713 Rh
0.500 0.429 0.287 Rh
0.500 0.500 0.000 Rh
0.500 0.000 0.500 Rh
```

Computed properties:
total magnetic moment: 0.00 Bohr magnetons per cell

***

Entry 20:
Entry from the Alexandria database: a relaxed TlIn2GaRh crystal (PBE-GGA).

Cell and atoms, written as POSCAR:
```
TlIn2GaRh
1.0
5.192 0.000 0.000
0.000 5.192 0.000
0.000 0.000 4.828
Tl Rh Ga In
1 1 1 2
Direct
0.500 0.500 0.500 Tl
0.000 0.000 0.000 Rh
0.000 0.000 0.500 Ga
0.000 0.500 0.000 In
0.500 0.000 0.000 In
```

Computed properties:
total magnetic moment: 0.00 Bohr magnetons per cell

***

Number 1: density 10.482 Mg/m³, ΔE_f -0.55 eV/atom. Number 2: density 10.290 Mg/m³, ΔE_f -0.62 eV/atom. Number 3: density 10.525 Mg/m³, ΔE_f -0.49 eV/atom. Number 4: density 7.163 Mg/m³, ΔE_f 1.17 eV/atom. Number 5: density 10.334 Mg/m³, ΔE_f -0.64 eV/atom. Number 6: density 8.513 Mg/m³, ΔE_f -0.26 eV/atom. Number 7: density 9.639 Mg/m³, ΔE_f -0.42 eV/atom. Number 8: density 9.719 Mg/m³, ΔE_f -0.27 eV/atom. Number 9: density 8.629 Mg/m³, ΔE_f 0.78 eV/atom. Number 10: density 10.437 Mg/m³, ΔE_f -0.30 eV/atom. Number 11: density 5.754 Mg/m³, ΔE_f -0.63 eV/atom. Number 12: density 5.824 Mg/m³, ΔE_f -0.63 eV/atom. Number 13: density 9.950 Mg/m³, ΔE_f -0.74 eV/atom. Number 14: density 7.462 Mg/m³, ΔE_f -0.62 eV/atom. Number 15: density 7.170 Mg/m³, ΔE_f -0.42 eV/atom. Number 16: density 9.392 Mg/m³, ΔE_f -0.50 eV/atom. Number 17: density 10.305 Mg/m³, ΔE_f -0.78 eV/atom. Number 18: density 10.264 Mg/m³, ΔE_f -0.74 eV/atom. Number 19: density 11.141 Mg/m³, ΔE_f -0.77 eV/atom. Number 20: density 7.741 Mg/m³, ΔE_f -0.16 eV/atom.